Computed, not measured: crystalline Ba2CdNi at its relaxed geometry at the GGA-PBE level of DFT.

Structure (POSCAR):
```
Ba2CdNi
1.0
-2.416 2.416 5.627
2.416 -2.416 5.627
2.416 2.416 -5.627
Ba Cd Ni
2 1 1
Cartesian
0.000 0.000 0.000
0.000 2.416 2.813
2.416 0.000 2.813
0.000 0.000 5.627
```

Properties
The magnetization comes out at 0.00 μB/f.u. The value obtained for the calculated formation energy is 0.196 eV/atom. As for the total energy: -2.440 eV/atom.